The following is a DFT calculation (PBE) of an optimized crystal structure of PrY3Tm2Se6.

Unit cell a=4.0688 b=8.2539 c=9.1293 alpha=102.31 beta=102.88 gamma=90.00
Closest atoms and distances in Å follow each position.
Sites, in units of the cell vectors:
Pr  0.5000  0.0000  0.0000  6 Se 2.97-3.02
Y  0.5000  0.5000  0.0000  6 Se 2.83-2.94
Y  0.8400  0.1651  0.6801  6 Se 2.85-2.95
Y  0.1600  0.8349  0.3199  6 Se 2.85-2.95
Tm  0.8357  0.6701  0.6715  6 Se 2.79-2.89
Tm  0.1643  0.3299  0.3285  6 Se 2.79-2.89
Se  0.3264  0.9070  0.6529  2 Tm 2.85, 3 Y 2.89-2.92, 1 Pr 3.02
Se  0.6695  0.5806  0.3390  3 Tm 2.89, 3 Y 2.94-2.95
Se  0.6736  0.0930  0.3471  2 Tm 2.85, 3 Y 2.89-2.92, 1 Pr 3.02
Se  0.0039  0.2631  0.0078  1 Tm 2.79, 3 Y 2.83-2.85, 2 Pr 2.97
Se  0.9961  0.7369  0.9922  1 Tm 2.79, 3 Y 2.83-2.85, 2 Pr 2.97
Se  0.3305  0.4194  0.6610  3 Tm 2.89, 3 Y 2.94-2.95

## Properties
For the total magnetization, the calculation gives 0.0 μB per formula unit. As for the uncorrected energy: -74.908 eV/cell. For the uncorrected formation energy, the calculation gives -1.74 eV/atom. As for the crystal system: monoclinic.

***

The following is a DFT calculation (PBE) of an optimized crystal structure of Be2CdTc.

Unit cell a=5.0972 b=5.0972 c=5.0972 alpha=148.65 beta=131.47 gamma=58.92
Closest atoms and distances in Å follow each position.
Sites, in units of the cell vectors:
Be  0.9869  0.9869  0.0000  2 Be 2.37, 4 Cd 2.52, 2 Tc 2.57
Be  0.7691  0.2691  0.5000  2 Be 2.37, 4 Tc 2.53
Tc  0.2312  0.7312  0.5000  6 Be 2.53-2.57, 2 Tc 2.75
Cd  0.5127  0.5127  0.0000  6 Be 2.52-2.66, 2 Cd 2.75

## Properties
For the total magnetization, the calculation gives 0.0 μB per formula unit. As for the uncorrected energy: -17.620 eV/cell. As for the energy of formation from the pure elements: 1.11 eV per formula unit. As for the crystal system: orthorhombic.

***

The following is a DFT calculation (PBE) of an optimized crystal structure of Cs2PrMg3F12.

Unit cell a=7.5212 b=7.5212 c=7.5212 alpha=61.18 beta=61.18 gamma=61.18
Closest atoms and distances in Å follow each position.
Sites, in units of the cell vectors:
Cs  0.6116  0.6116  0.6116  6 F 3.08-3.41
Cs  0.3884  0.3884  0.3884  6 F 3.08-3.41
Pr  0.0000  0.0000  0.0000  6 F 2.34
Mg  0.5000  0.0000  0.0000  6 F 1.99-2.02
Mg  0.0000  0.5000  0.0000  6 F 1.99-2.02
Mg  0.0000  0.0000  0.5000  6 F 1.99-2.02
F  0.2870  0.2870  0.9156  2 Mg 1.99
F  0.8976  0.8976  0.3740  1 Mg 2.02
F  0.3740  0.8976  0.8976  1 Mg 2.02
F  0.9156  0.2870  0.2870  2 Mg 1.99
F  0.8976  0.3740  0.8976  1 Mg 2.02
F  0.2870  0.9156  0.2870  2 Mg 1.99
F  0.7130  0.7130  0.0844  2 Mg 1.99
F  0.1024  0.1024  0.6260  1 Mg 2.02
F  0.6260  0.1024  0.1024  1 Mg 2.02
F  0.0844  0.7130  0.7130  2 Mg 1.99
F  0.1024  0.6260  0.1024  1 Mg 2.02
F  0.7130  0.0844  0.7130  2 Mg 1.99

## Properties
For the total magnetization, the calculation gives 1.2 μB per formula unit. As for the uncorrected energy: -92.732 eV/cell. For the uncorrected formation energy, the calculation gives -3.28 eV/atom. As for the crystal system: trigonal.

***

The following is a DFT calculation (PBE) of an optimized crystal structure of Tm2AlCu3.

Unit cell a=3.6897 b=4.0119 c=8.1720 alpha=104.21 beta=103.05 gamma=90.00
Closest atoms and distances in Å follow each position.
Sites, in units of the cell vectors:
Tm  0.1304  0.1304  0.2609  10 Cu 2.94-3.29, 2 Al 3.21
Tm  0.8633  0.3633  0.7266  6 Cu 2.90-3.19, 4 Al 3.11
Al  0.4602  0.9602  0.9205  3 Cu 2.39-2.48
Cu  0.7020  0.7020  0.4039  3 Cu 2.38-2.42
Cu  0.5447  0.5447  0.0894  2 Al 2.39, 1 Cu 2.42
Cu  0.2994  0.7994  0.5988  2 Cu 2.38, 1 Al 2.48

## Properties
For the energy above the most stable polymorph in this dataset, the calculation gives 0.0289 eV per atom. For the total magnetization, the calculation gives 0.0 μB per formula unit. As for the uncorrected energy: -26.618 eV/cell. As for the energy of formation from the pure elements: -1.64 eV per formula unit. As for the crystal system: orthorhombic.

***

The following is a DFT calculation (PBE) of an optimized crystal structure of Ac2PuThSb4.

Unit cell a=4.6345 b=8.0178 c=8.0497 alpha=109.42 beta=90.00 gamma=90.00
Closest atoms and distances in Å follow each position.
Sites, in units of the cell vectors:
Ac  0.5000  0.0000  0.5000  6 Sb 3.36
Ac  0.0000  0.5000  0.5000  6 Sb 3.37
Pu  0.0000  0.0000  0.0000  6 Sb 3.19-3.20
Th  0.5000  0.5000  0.0000  6 Sb 3.20
Sb  0.5000  0.2424  0.2298  2 Pu 3.19, 1 Th 3.20, 3 Ac 3.36-3.37
Sb  0.5000  0.7576  0.7702  2 Pu 3.19, 1 Th 3.20, 3 Ac 3.36-3.37
Sb  0.0000  0.2556  0.7684  1 Pu 3.20, 2 Th 3.20, 3 Ac 3.36-3.37
Sb  0.0000  0.7444  0.2316  1 Pu 3.20, 2 Th 3.20, 3 Ac 3.36-3.37

## Properties
For the total magnetization, the calculation gives 5.5 μB per formula unit. As for the uncorrected energy: -54.384 eV/cell. For the uncorrected formation energy, the calculation gives -0.99 eV/atom. As for the crystal system: monoclinic.

***

The following is a DFT calculation (PBE) of an optimized crystal structure of Ba2LaSn6.

Unit cell a=6.7586 b=7.3802 c=7.1721 alpha=120.96 beta=85.73 gamma=90.00
Closest atoms and distances in Å follow each position.
Sites, in units of the cell vectors:
Ba  0.8253  0.6683  0.3367  10 Sn 3.49-3.91
Ba  0.1747  0.3317  0.6633  10 Sn 3.49-3.91
La  0.0000  0.0000  0.0000  6 Sn 3.27-3.30
Sn  0.3336  0.3601  0.1747  2 Sn 2.97-3.02, 1 La 3.27
Sn  0.3394  0.7909  0.5817  2 Sn 3.02, 1 La 3.30
Sn  0.3336  0.8146  0.1747  2 Sn 2.97-3.02, 1 La 3.27
Sn  0.6664  0.6399  0.8253  2 Sn 2.97-3.02, 1 La 3.27
Sn  0.6606  0.2092  0.4183  2 Sn 3.02, 1 La 3.30
Sn  0.6664  0.1854  0.8253  2 Sn 2.97-3.02, 1 La 3.27

## Properties
For the total magnetization, the calculation gives 0.0 μB per formula unit. As for the uncorrected energy: -36.812 eV/cell. As for the energy of formation from the pure elements: -4.02 eV per formula unit. As for the crystal system: monoclinic.

***

The following is a DFT calculation (PBE) of an optimized crystal structure of ErMgAgCl6.

Unit cell a=6.6033 b=6.6033 c=12.2157 alpha=90.00 beta=90.00 gamma=120.00
Closest atoms and distances in Å follow each position.
Sites, in units of the cell vectors:
Er  0.3333  0.6667  0.2500  6 Cl 2.63
Er  0.6667  0.3333  0.7500  6 Cl 2.63
Mg  0.6667  0.3333  0.2500  6 Cl 2.53
Mg  0.3333  0.6667  0.7500  6 Cl 2.53
Ag  0.0000  0.0000  0.0000  6 Cl 2.84
Ag  0.0000  0.0000  0.5000  6 Cl 2.84
Cl  0.6521  0.6406  0.1319  1 Mg 2.53, 1 Er 2.63
Cl  0.9885  0.3479  0.1319  1 Mg 2.53, 1 Er 2.63
Cl  0.3479  0.9885  0.6319  1 Mg 2.53, 1 Er 2.63
Cl  0.0115  0.6521  0.8681  1 Mg 2.53, 1 Er 2.63
Cl  0.3594  0.3479  0.3681  1 Mg 2.53, 1 Er 2.63
Cl  0.9885  0.6406  0.3681  1 Mg 2.53, 1 Er 2.63
Cl  0.6406  0.9885  0.8681  1 Mg 2.53, 1 Er 2.63
Cl  0.6521  0.0115  0.3681  1 Mg 2.53, 1 Er 2.63
Cl  0.0115  0.3594  0.6319  1 Mg 2.53, 1 Er 2.63
Cl  0.3594  0.0115  0.1319  1 Mg 2.53, 1 Er 2.63
Cl  0.6406  0.6521  0.6319  1 Mg 2.53, 1 Er 2.63
Cl  0.3479  0.3594  0.8681  1 Mg 2.53, 1 Er 2.63

## Properties
For the total magnetization, the calculation gives 0.0 μB per formula unit. As for the uncorrected energy: -71.031 eV/cell. For the uncorrected formation energy, the calculation gives -1.71 eV/atom. As for the crystal system: trigonal.

***

The following is a DFT calculation (PBE) of an optimized crystal structure of CaReN3.

Unit cell a=2.9402 b=6.0962 c=6.0962 alpha=116.71 beta=90.00 gamma=90.00
Closest atoms and distances in Å follow each position.
Sites, in units of the cell vectors:
Re  0.0000  0.4103  0.5897  1 N 1.76
Ca  0.5000  0.0698  0.9302  4 N 2.27-2.31
N  0.5000  0.2545  0.3475  2 Re 2.00
N  0.5000  0.6525  0.7455  2 Re 2.00
N  0.0000  0.2409  0.7591  1 Re 1.76

## Properties
For the total magnetization, the calculation gives 0.0 μB per formula unit. As for the uncorrected energy: -39.628 eV/cell. For the uncorrected formation energy, the calculation gives -0.04 eV/atom. As for the crystal system: orthorhombic.

***

The following is a DFT calculation (PBE) of an optimized crystal structure of LiRe2Pt.

Unit cell a=4.9024 b=4.9024 c=4.5968 alpha=82.51 beta=82.51 gamma=32.09
Closest atoms and distances in Å follow each position.
Sites, in units of the cell vectors:
Li  0.2500  0.2500  0.2500  6 Re 2.66-2.90, 4 Pt 2.67, 2 Li 2.71
Pt  0.7500  0.7500  0.7500  4 Li 2.67, 2 Pt 2.71, 6 Re 2.75-2.85
Re  0.0107  0.0107  0.0005  6 Re 2.65-2.71, 3 Li 2.66-2.90, 3 Pt 2.75-2.85
Re  0.4893  0.4893  0.4995  6 Re 2.65-2.71, 3 Li 2.66-2.90, 3 Pt 2.75-2.85

## Properties
For the energy above the most stable polymorph in this dataset, the calculation gives 0.0301 eV per atom. For the total magnetization, the calculation gives 0.0 μB per formula unit. As for the uncorrected energy: -32.928 eV/cell. As for the energy of formation from the pure elements: -0.08 eV per formula unit. As for the crystal system: monoclinic.